An optimized crystal structure of Pm2NiHgO6, computed with PBE+U.

Results
Magnetization ... 0.013 μB per atom
E_tot ... -6.07 eV per atom
Symmetry ... No. 14
DOS at the Fermi energy ... 4.91 states/eV/f.u.

The structure in POSCAR format:
```
Pm2NiHgO6
1.0
5.515 0.000 0.000
0.000 6.214 0.000
-5.362 0.000 7.671
Pm Ni Hg O
4 2 2 12
direct
0.223 0.087 0.247
0.223 0.413 0.747
0.777 0.587 0.253
0.777 0.913 0.753
0.500 0.000 0.000
0.500 0.500 0.500
0.000 0.000 0.500
0.000 0.500 0.000
0.161 0.153 0.948
0.161 0.347 0.448
0.264 0.694 0.937
0.264 0.806 0.437
0.396 0.052 0.767
0.396 0.448 0.267
0.604 0.552 0.733
0.604 0.948 0.233
0.736 0.194 0.563
0.736 0.306 0.063
0.839 0.653 0.552
0.839 0.847 0.052
```